DFT (PBE) results for a relaxed NbSiAs2Br crystal.

abc: 4.7390 4.7390 4.9235
angles: 90.00 90.00 90.00
Closest atoms and distances in Å follow each position.
Space group P4/mmm (No. 123)
Symmetry-distinct sites (fractional):
Nb: 0.0000 0.0000 0.0000 x1  4 Br 3.35, 8 As 3.42
Si: 0.5000 0.5000 0.5000 x1  4 As 2.37, 2 Br 2.46
As: 0.0000 0.5000 0.5000 x2  2 Si 2.37
Br: 0.5000 0.5000 0.0000 x1  2 Si 2.46

- Energy relative to the lowest polymorph listed for this composition: 244.7 meV per atom
- Uncorrected formation energy: 0.82 eV per atom

DFT (PBE) results for a relaxed TlRuF2 crystal.

abc: 6.3403 6.3403 6.3403
angles: 90.00 90.00 90.00
Closest atoms and distances in Å follow each position.
Space group Fm-3m (No. 225)
Symmetry-distinct sites (fractional):
Tl: 0.0000 0.0000 0.0000 x4  8 F 2.75
Ru: 0.0000 0.0000 0.5000 x4  8 F 2.75
F: 0.2500 0.2500 0.2500 x8  4 Tl 2.75, 4 Ru 2.75

- Energy relative to the lowest polymorph listed for this composition: 365.3 meV per atom
- Uncorrected formation energy: -0.50 eV per atom

DFT (PBE) results for a relaxed Sc3InPb crystal.

abc: 5.3113 5.3113 5.3113
angles: 90.00 90.00 90.00
Closest atoms and distances in Å follow each position.
Space group Pm-3m (No. 221)
Symmetry-distinct sites (fractional):
Sc: 0.0000 0.0000 0.5000 x3  2 In 2.66
In: 0.0000 0.0000 0.0000 x1  6 Sc 2.66
Pb: 0.5000 0.5000 0.5000 x1  12 Sc 3.76

- Energy relative to the lowest polymorph listed for this composition: 469.1 meV per atom
- Formation energy: 0.20 eV/atom

DFT (PBE) results for a relaxed La2CeAlN crystal.

abc: 5.1019 5.1019 4.8496
angles: 90.00 90.00 90.00
Closest atoms and distances in Å follow each position.
Space group P4/mmm (No. 123)
Symmetry-distinct sites (fractional):
La: 0.0000 0.5000 0.0000 x2  2 N 2.55
Ce: 0.0000 0.0000 0.5000 x1  2 N 2.42
Al: 0.5000 0.5000 0.5000 x1  8 La 3.52, 4 Ce 3.61
N: 0.0000 0.0000 0.0000 x1  2 Ce 2.42, 4 La 2.55

- Uncorrected formation energy: -0.74 eV per atom

DFT (PBE) results for a relaxed LaPtSe crystal.

abc: 10.6095 4.1807 7.1105
angles: 90.00 90.00 90.00
Closest atoms and distances in Å follow each position.
Space group Amm2 (No. 38)
Symmetry-distinct sites (fractional):
La: 0.1819 0.0000 0.0000 x4  3 Se 2.96, 3 Pt 3.05-3.12
Pt: 0.0000 0.0000 0.3451 x2  6 La 3.05-3.12
Pt: 0.5000 0.0000 0.0720 x2  2 Se 2.49
Se: 0.3461 0.0000 0.3364 x4  1 Pt 2.49

- Energy relative to the lowest polymorph listed for this composition: 416.8 meV per atom
- Uncorrected formation energy: -0.85 eV per atom

DFT (PBE) results for a relaxed La6Pm5 crystal.

abc: 10.6033 13.7788 6.3081
angles: 90.00 119.95 90.00
Closest atoms and distances in Å follow each position.
Space group C2/m (No. 12)
Symmetry-distinct sites (fractional):
La: 0.1753 0.0000 0.0525 x4  3 La 3.44-3.49, 5 Pm 3.62-3.67
La: 0.1829 0.1360 0.5923 x8  5 La 3.45-3.86, 5 Pm 3.52-3.69
Pm: 0.0000 0.2358 0.0000 x4  6 La 3.52-3.67, 3 Pm 3.64-3.65
Pm: 0.0000 0.3687 0.5000 x4  5 Pm 3.62-3.65, 6 La 3.64-3.69
Pm: 0.0000 0.5000 0.0000 x2  6 La 3.58-3.62, 6 Pm 3.64

- Energy relative to the lowest polymorph listed for this composition: 8.2 meV per atom
- Formation energy: 0.11 eV/atom

DFT (PBE) results for a relaxed LaPbCl3 crystal.

abc: 5.6221 5.6221 5.6221
angles: 90.00 90.00 90.00
Closest atoms and distances in Å follow each position.
Space group Pm-3m (No. 221)
Symmetry-distinct sites (fractional):
La: 0.0000 0.0000 0.0000 x1  6 Cl 2.81
Pb: 0.5000 0.5000 0.5000 x1  12 Cl 3.98
Cl: 0.0000 0.0000 0.5000 x3  2 La 2.81

- Energy relative to the lowest polymorph listed for this composition: 0.0 meV per atom
- Uncorrected formation energy: -1.33 eV per atom

DFT (PBE) results for a relaxed Ce2Sm4Pb3N2 crystal.

abc: 4.8636 4.8636 25.8711
angles: 90.00 90.00 90.00
Closest atoms and distances in Å follow each position.
Space group I4/mmm (No. 139)
Symmetry-distinct sites (fractional):
Ce: 0.0000 0.0000 0.1907 x4  1 N 2.20
Sm: 0.0000 0.5000 0.0836 x8  2 N 2.50
Pb: 0.0000 0.0000 0.3219 x4  5 Ce 3.39-3.45, 4 Sm 3.45
Pb: 0.0000 0.0000 0.5000 x2  8 Sm 3.26
N: 0.0000 0.0000 0.1054 x4  1 Ce 2.20

- Uncorrected formation energy: -0.84 eV per atom

DFT (PBE) results for a relaxed AlSe3F crystal.

abc: 4.6652 4.6652 4.6652
angles: 90.00 90.00 90.00
Closest atoms and distances in Å follow each position.
Space group Pm-3m (No. 221)
Symmetry-distinct sites (fractional):
Al: 0.0000 0.0000 0.0000 x1  12 Se 3.30
Se: 0.0000 0.5000 0.5000 x3  2 F 2.33
F: 0.5000 0.5000 0.5000 x1  6 Se 2.33

- Energy relative to the lowest polymorph listed for this composition: 281.2 meV per atom
- Uncorrected formation energy: 0.33 eV per atom

DFT (PBE) results for a relaxed AgHg2Ir crystal.

abc: 3.0373 3.0373 8.0813
angles: 90.00 90.00 90.00
Closest atoms and distances in Å follow each position.
Space group P4/mmm (No. 123)
Symmetry-distinct sites (fractional):
Ag: 0.0000 0.0000 0.0000 x1  8 Hg 3.02, 4 Ag 3.04
Hg: 0.5000 0.5000 0.2634 x2  4 Ir 2.88, 4 Ag 3.02, 4 Hg 3.04
Ir: 0.0000 0.0000 0.5000 x1  8 Hg 2.88, 4 Ir 3.04

- Energy relative to the lowest polymorph listed for this composition: 16.0 meV per atom
- Formation energy: 0.35 eV/atom

DFT (PBE) results for a relaxed Rb2TcSe crystal.

abc: 4.6803 4.6803 23.5772
angles: 90.00 90.00 90.00
Closest atoms and distances in Å follow each position.
Space group I-42d (No. 122)
Symmetry-distinct sites (fractional):
Rb: 0.2423 0.2500 0.1250 x8  4 Rb 3.26-3.36, 2 Se 3.37, 2 Tc 3.39
Tc: 0.0000 0.0000 0.5000 x4  4 Se 3.31, 4 Rb 3.39
Se: 0.0000 0.0000 0.0000 x4  4 Tc 3.31, 4 Rb 3.37

- Energy relative to the lowest polymorph listed for this composition: 99.4 meV per atom
- Uncorrected formation energy: 0.90 eV per atom

DFT (PBE) results for a relaxed Sc2SiSe crystal.

abc: 3.8869 21.1192 3.7543
angles: 90.00 90.00 90.00
Closest atoms and distances in Å follow each position.
Space group Cmcm (No. 63)
Symmetry-distinct sites (fractional):
Sc: 0.0000 0.0635 0.2500 x4  1 Se 2.72, 6 Si 2.75-2.92
Sc: 0.0000 0.3309 0.2500 x4  1 Si 2.73, 5 Se 2.75-2.93
Si: 0.0000 0.4601 0.2500 x4  2 Si 2.52, 5 Sc 2.73-2.75
Se: 0.0000 0.1923 0.2500 x4  6 Sc 2.72-2.93

- Energy relative to the lowest polymorph listed for this composition: 0.0 meV per atom
- Uncorrected formation energy: -1.25 eV per atom

DFT (PBE) results for a relaxed LiIn4Au2 crystal.

abc: 4.5663 4.5663 27.7070
angles: 90.00 90.00 120.00
Closest atoms and distances in Å follow each position.
Space group R-3m (No. 166, hexagonal axes)
Symmetry-distinct sites (fractional):
Li: 0.0000 0.0000 0.0000 x3  2 Au 2.64
In: 0.0000 0.0000 0.2013 x6  4 Au 2.83-2.93
In: 0.0000 0.0000 0.3837 x6  3 Au 2.92, 3 Li 2.98
Au: 0.0000 0.0000 0.0953 x6  1 Li 2.64, 7 In 2.83-2.93

- Formation energy: -0.23 eV/atom

DFT (PBE) results for a relaxed La2Pr4Sc crystal.

abc: 6.1830 13.1137 5.9900
angles: 90.00 90.00 90.00
Closest atoms and distances in Å follow each position.
Space group Cmmm (No. 65)
Symmetry-distinct sites (fractional):
La: 0.0000 0.1079 0.0000 x4  1 La 2.83, 2 Pr 3.11
Pr: 0.0000 0.1883 0.5000 x4  2 La 3.18, 2 Pr 3.49
Pr: 0.0000 0.3645 0.0000 x4  3 La 3.11-3.36, 2 Sc 3.48
Sc: 0.0000 0.5000 0.5000 x2  4 Pr 3.48

- Energy relative to the lowest polymorph listed for this composition: 366.9 meV per atom
- Formation energy: 0.40 eV/atom

DFT (PBE) results for a relaxed CdOs crystal.

abc: 5.9746 6.9173 8.5576
angles: 90.00 90.00 90.00
Closest atoms and distances in Å follow each position.
Space group P2_12_12_1 (No. 19)
Symmetry-distinct sites (fractional):
Cd: 0.2340 0.0787 0.1009 x4  5 Os 2.74-2.97, 2 Cd 2.85-2.90
Cd: 0.2436 0.5795 0.4054 x4  5 Os 2.74-2.95, 2 Cd 2.85-2.90
Os: 0.0005 0.6060 0.6864 x4  2 Os 2.42-2.45
Os: 0.0020 0.2833 0.5697 x4  2 Os 2.42-2.45

- Formation energy: 0.93 eV/atom

DFT (PBE) results for a relaxed HoS6Cl2 crystal.

abc: 4.0474 8.0819 9.1414
angles: 113.76 93.24 90.68
Closest atoms and distances in Å follow each position.
Space group P-1 (No. 2)
Symmetry-distinct sites (fractional):
Ho: 0.0000 0.0000 0.0000 x1  4 Cl 2.66-2.69, 2 S 2.76
S: 0.1029 0.7214 0.4537 x2  1 S 1.97
S: 0.1117 0.4949 0.7185 x2  2 S 1.97-2.08
S: 0.1150 0.2818 0.2960 x2  1 S 2.08
Cl: 0.4964 0.1474 0.9035 x2  2 Ho 2.66-2.69

- Uncorrected formation energy: -0.65 eV per atom

DFT (PBE) results for a relaxed AlFeSb2 crystal.

abc: 3.9263 5.2404 8.0254
angles: 90.00 90.00 90.00
Closest atoms and distances in Å follow each position.
Space group Immm (No. 71)
Symmetry-distinct sites (fractional):
Al: 0.0000 0.0000 0.0000 x2  4 Sb 2.83
Fe: 0.0000 0.0000 0.5000 x2  4 Sb 2.78
Sb: 0.0000 0.5000 0.2459 x4  2 Fe 2.78, 2 Al 2.83

- Uncorrected formation energy: 0.40 eV per atom

DFT (PBE) results for a relaxed NaTlCd2Ir crystal.

abc: 5.2816 5.2816 5.2306
angles: 90.00 90.00 90.00
Closest atoms and distances in Å follow each position.
Space group P4/mmm (No. 123)
Symmetry-distinct sites (fractional):
Na: 0.0000 0.0000 0.0000 x1  8 Cd 3.72, 4 Tl 3.73
Tl: 0.5000 0.5000 0.0000 x1  2 Ir 2.62
Cd: 0.0000 0.5000 0.5000 x2  2 Ir 2.64
Ir: 0.5000 0.5000 0.5000 x1  2 Tl 2.62, 4 Cd 2.64

- Formation energy: 0.05 eV/atom

DFT (PBE) results for a relaxed YTm3Au2 crystal.

abc: 6.9759 13.7623 7.2066
angles: 90.00 90.00 90.00
Closest atoms and distances in Å follow each position.
Space group Ibam (No. 72)
Symmetry-distinct sites (fractional):
Y: 0.0000 0.0000 0.0000 x4  2 Au 2.85
Tm: 0.0000 0.2336 0.2500 x8  4 Au 2.86-3.01
Tm: 0.0000 0.5000 0.2500 x4  4 Au 3.02
Au: 0.2041 0.3576 0.0000 x8  1 Y 2.85, 6 Tm 2.86-3.02

- Energy relative to the lowest polymorph listed for this composition: 191.1 meV per atom
- Formation energy: -0.47 eV/atom

DFT (PBE) results for a relaxed SrScAs4 crystal.

abc: 8.1437 8.1437 8.1437
angles: 90.00 90.00 90.00
Closest atoms and distances in Å follow each position.
Space group F-43m (No. 216)
Symmetry-distinct sites (fractional):
Sr: 0.0000 0.0000 0.0000 x4  12 As 3.38, 4 Sc 3.53
Sc: 0.2500 0.2500 0.2500 x4  12 As 3.37, 4 Sr 3.53
As: 0.1233 0.1233 0.6233 x16  6 As 2.84-2.92

- Formation energy: -0.23 eV/atom

no.,volume (Å³ per atom)
1,22.1
2,15.9
3,30.0
4,25.2
5,26.3
6,36.3
7,35.5
8,27.8
9,20.3
10,18.6
11,32.3
12,19.3
13,23.8
14,34.7
15,22.1
16,30.3
17,20.6
18,29.2
19,28.8
20,22.5